CrWO6 | PBE with a Hubbard U | optimized geometry

a = 5.268 Å, b = 5.268 Å, c = 5.381 Å
α = 59.29°, β = 59.29°, γ = 61.68°
Fractional coordinates of all 8 atoms:
W 0.981 0.981 0.011
O 0.740 0.740 0.132
O 0.263 0.263 0.749
O 0.219 0.709 0.239
O 0.781 0.298 0.654
O 0.298 0.781 0.654
O 0.709 0.219 0.239
Cr 0.498 0.498 0.510

Results
* E_tot: -55.23 eV per cell
* space-group type: Cm, No. 8